Material: HfZnFeRe
Method: DFT, GGA-PBE
State: relaxed

## Properties
Relative energy among the computed polymorphs = 9.4 kJ/mol of formula units
V = 61 Å³ per cell
Energy relative to the elements = 0.18 eV per atom

Cell: 4.419 4.419 4.419 Å, 60.00 60.00 60.00°
Positions (direct):
Hf 0.000 0.000 0.000
Zn 0.500 0.500 0.500
Fe 0.750 0.750 0.750
Re 0.250 0.250 0.250

---

Material: HfBeInIr
Method: DFT, GGA-PBE
State: relaxed

## Properties
Relative energy among the computed polymorphs = 101.0 kJ/mol of formula units
V = 65 Å³ per cell

Cell: 4.504 4.504 4.504 Å, 60.00 60.00 60.00°
Positions (direct):
Hf 0.000 0.000 0.000
Be 0.250 0.250 0.250
In 0.750 0.750 0.750
Ir 0.500 0.500 0.500

---

Material: YHoC2Br2
Method: DFT, GGA-PBE
State: relaxed

## Properties
E = -6.55 eV per atom
V = 145 Å³ per cell

Cell: 3.996 3.996 10.951 Å, 94.03 94.03 56.42°
Positions (direct):
Y 0.000 0.000 0.000
Ho 0.290 0.290 0.263
C 0.570 0.570 0.167
C 0.720 0.720 0.099
Br 0.322 0.322 0.827
Br 0.966 0.966 0.435

---

Material: Dy3ErTm2Bi2Os
Method: DFT, GGA-PBE
State: relaxed

## Properties
E = -5.75 eV per atom
V = 248 Å³ per cell

Cell: 4.243 8.222 8.222 Å, 119.99 90.00 90.00°
Positions (direct):
Dy 0.000 0.000 0.000
Dy 0.000 0.228 0.614
Dy 0.000 0.614 0.228
Er 0.500 0.383 0.383
Tm 0.500 0.614 0.845
Tm 0.500 0.845 0.614
Bi 0.500 0.281 0.947
Bi 0.500 0.947 0.281
Os 0.000 0.615 0.615